# Li3Ac2US6 (PBE-GGA, relaxed)
# Spin magnetization = 6.0 μB/cell
# Crystal system = monoclinic
# Formation energy without anion corrections = -1.605 eV per atom
data_Li3Ac2US6
_symmetry_space_group_name_H-M 'C 1 2/m 1'
_symmetry_Int_Tables_number 12
_cell_length_a 7.1631
_cell_length_b 12.8751
_cell_length_c 6.5923
_cell_angle_alpha 90.00
_cell_angle_beta 108.70
_cell_angle_gamma 90.00
loop_
_symmetry_equiv_pos_as_xyz
'x,y,z'
'-x,-y,-z'
'-x,y,-z'
'x,-y,z'
'x+1/2,y+1/2,z'
'-x+1/2,-y+1/2,-z'
'-x+1/2,y+1/2,-z'
'x+1/2,-y+1/2,z'
loop_
_atom_site_label
_atom_site_type_symbol
_atom_site_fract_x
_atom_site_fract_y
_atom_site_fract_z
Li1 Li 0.0000 0.0000 0.0000
Li2 Li 0.0000 0.3713 0.0000
Ac1 Ac 0.0000 0.1697 0.5000
U1 U 0.0000 0.5000 0.5000
S1 S 0.2292 0.3465 0.7581
S2 S 0.2446 0.5000 0.2459

# BaBi2Ir2 (PBE-GGA, relaxed)
# Spin magnetization = 0.0 μB/cell
# Formation enthalpy at 0 K = -0.13 eV/atom
# Crystal system = tetragonal
data_BaBi2Ir2
_symmetry_space_group_name_H-M 'I 4/m m m'
_symmetry_Int_Tables_number 139
_symmetry_space_group_name_Hall '-I 4 2'
_cell_length_a 4.3820
_cell_length_b 4.3820
_cell_length_c 14.0252
_cell_angle_alpha 90.00
_cell_angle_beta 90.00
_cell_angle_gamma 90.00
loop_
_atom_site_label
_atom_site_type_symbol
_atom_site_fract_x
_atom_site_fract_y
_atom_site_fract_z
Ba1 Ba 0.0000 0.0000 0.0000
Bi1 Bi 0.0000 0.0000 0.3647
Ir1 Ir 0.0000 0.5000 0.2500

# K4SrU3S12 (PBE-GGA, relaxed)
# Spin magnetization = 0.6 μB/cell
# Crystal system = cubic
# Formation energy without anion corrections = -1.304 eV per atom
data_K4SrU3S12
_symmetry_space_group_name_H-M 'I m -3 m'
_symmetry_Int_Tables_number 229
_symmetry_space_group_name_Hall '-I 4 2 3'
_cell_length_a 10.5254
_cell_length_b 10.5254
_cell_length_c 10.5254
_cell_angle_alpha 90.00
_cell_angle_beta 90.00
_cell_angle_gamma 90.00
loop_
_atom_site_label
_atom_site_type_symbol
_atom_site_fract_x
_atom_site_fract_y
_atom_site_fract_z
K1 K 0.2500 0.2500 0.2500
Sr1 Sr 0.0000 0.0000 0.0000
U1 U 0.0000 0.0000 0.5000
S1 S 0.0000 0.0000 0.2692
S2 S 0.0000 0.2500 0.5000

# YBe2Co (PBE-GGA, relaxed)
# Spin magnetization = 0.0 μB/cell
# Energy relative to the lowest polymorph listed for this composition = 0.0198 eV per atom
# Formation enthalpy at 0 K = -0.17 eV/atom
# Crystal system = monoclinic
data_YBe2Co
_symmetry_space_group_name_H-M 'C 1 m 1'
_symmetry_Int_Tables_number 8
_cell_length_a 6.5077
_cell_length_b 3.7609
_cell_length_c 5.2420
_cell_angle_alpha 90.00
_cell_angle_beta 114.35
_cell_angle_gamma 90.00
loop_
_symmetry_equiv_pos_as_xyz
'x,y,z'
'x,-y,z'
'x+1/2,y+1/2,z'
'x+1/2,-y+1/2,z'
loop_
_atom_site_label
_atom_site_type_symbol
_atom_site_fract_x
_atom_site_fract_y
_atom_site_fract_z
Y1 Y 0.0000 0.0000 0.0000
Be1 Be 0.1882 0.0000 0.5641
Be2 Be 0.4954 0.0000 0.4862
Co1 Co 0.3061 0.5000 0.4183

Question: Look up the spin magnetization of the second one.
Answer: 0.0 μB/cell